DFT (PBEsol) results for crystalline Zn3Fe4 at its relaxed geometry.

Computed properties:
Crystal system: tetragonal
Total DFT energy (no corrections) (eV/atom): -5.74

a = 2.8916 Å, b = 2.8916 Å, c = 19.9269 Å
α = 90.00°, β = 90.00°, γ = 90.00°
Space group I4/mmm (No. 139)
Symmetry-distinct sites (fractional):
Zn: 0.0000 0.0000 0.0000 (multiplicity 2)
Zn: 0.0000 0.0000 0.2910 (multiplicity 4)
Fe: 0.0000 0.0000 0.1336 (multiplicity 4)
Fe: 0.0000 0.0000 0.4252 (multiplicity 4)